No. 1
Computed, not measured: an optimized crystal structure of Ag5GeS4 at the PBE-GGA level of DFT.

CIF file:
```
data_Ag5GeS4
_chemical_formula_sum 'Ag10 Ge2 S8'
_symmetry_space_group_name_H-M 'P m m n'
_symmetry_Int_Tables_number 59
_cell_length_a 7.649
_cell_length_b 10.438
_cell_length_c 5.765
_cell_angle_alpha 90.00
_cell_angle_beta 90.00
_cell_angle_gamma 90.00
loop_
_symmetry_equiv_pos_as_xyz
'x,y,z'
'-x,-y,-z'
'-x+1/2,-y+1/2,z'
'x+1/2,y+1/2,-z'
'x+1/2,-y,-z'
'-x+1/2,y,z'
'-x,y+1/2,-z'
'x,-y+1/2,z'
loop_
_atom_site_label
_atom_site_type_symbol
_atom_site_fract_x
_atom_site_fract_y
_atom_site_fract_z
_atom_site_occupancy
Ag1 Ag 0.059 0.107 0.192 1
Ag2 Ag 0.250 0.250 0.838 1
Ge1 Ge 0.250 0.750 0.264 1
S1 S 0.005 0.250 0.539 1
S2 S 0.250 0.574 0.026 1
```

No. 2
Computed, not measured: an optimized crystal structure of Ag5GeS6 at the PBE-GGA level of DFT.

CIF file:
```
data_Ag5GeS6
_chemical_formula_sum 'Ag10 Ge2 S12'
_symmetry_space_group_name_H-M 'C 1 2/m 1'
_symmetry_Int_Tables_number 12
_cell_length_a 6.692
_cell_length_b 11.157
_cell_length_c 6.580
_cell_angle_alpha 90.00
_cell_angle_beta 111.57
_cell_angle_gamma 90.00
loop_
_symmetry_equiv_pos_as_xyz
'x,y,z'
'-x,-y,-z'
'-x,y,-z'
'x,-y,z'
'x+1/2,y+1/2,z'
'-x+1/2,-y+1/2,-z'
'-x+1/2,y+1/2,-z'
'x+1/2,-y+1/2,z'
loop_
_atom_site_label
_atom_site_type_symbol
_atom_site_fract_x
_atom_site_fract_y
_atom_site_fract_z
_atom_site_occupancy
Ag1 Ag 0.000 0.000 0.000 1
Ag2 Ag 0.000 0.175 0.500 1
Ag3 Ag 0.000 0.349 0.000 1
Ge1 Ge 0.000 0.500 0.500 1
S1 S 0.208 0.347 0.753 1
S2 S 0.243 0.000 0.692 1
```

No. 3
Computed, not measured: an optimized crystal structure of Ag3GeS at the PBE-GGA level of DFT.

CIF file:
```
data_Ag3GeS
_chemical_formula_sum 'Ag3 Ge1 S1'
_symmetry_space_group_name_H-M 'P m -3 m'
_symmetry_Int_Tables_number 221
_symmetry_space_group_name_Hall '-P 4 2 3'
_cell_length_a 4.902
_cell_length_b 4.902
_cell_length_c 4.902
_cell_angle_alpha 90.00
_cell_angle_beta 90.00
_cell_angle_gamma 90.00
loop_
_atom_site_label
_atom_site_type_symbol
_atom_site_fract_x
_atom_site_fract_y
_atom_site_fract_z
_atom_site_occupancy
Ag1 Ag 0.000 0.000 0.500 1
Ge1 Ge 0.000 0.000 0.000 1
S1 S 0.500 0.500 0.500 1
```

No. 4
Computed, not measured: an optimized crystal structure of AgGe2S6 at the PBE-GGA level of DFT.

CIF file:
```
data_AgGe2S6
_chemical_formula_sum 'Ag4 Ge8 S24'
_symmetry_space_group_name_H-M 'C 1 2/c 1'
_symmetry_Int_Tables_number 15
_cell_length_a 16.506
_cell_length_b 13.422
_cell_length_c 6.158
_cell_angle_alpha 90.00
_cell_angle_beta 100.49
_cell_angle_gamma 90.00
loop_
_symmetry_equiv_pos_as_xyz
'x,y,z'
'-x,-y,-z'
'-x,y,-z+1/2'
'x,-y,z+1/2'
'x+1/2,y+1/2,z'
'-x+1/2,-y+1/2,-z'
'-x+1/2,y+1/2,-z+1/2'
'x+1/2,-y+1/2,z+1/2'
loop_
_atom_site_label
_atom_site_type_symbol
_atom_site_fract_x
_atom_site_fract_y
_atom_site_fract_z
_atom_site_occupancy
Ag1 Ag 0.000 0.041 0.250 1
Ge1 Ge 0.210 0.067 0.112 1
S1 S 0.082 0.108 0.988 1
S2 S 0.209 0.307 0.993 1
S3 S 0.241 0.428 0.520 1
```

No. 5
Computed, not measured: an optimized crystal structure of AgGe2S4 at the PBE-GGA level of DFT.

CIF file:
```
data_AgGe2S4
_chemical_formula_sum 'Ag2 Ge4 S8'
_symmetry_space_group_name_H-M 'I 4/m'
_symmetry_Int_Tables_number 87
_symmetry_space_group_name_Hall '-I 4'
_cell_length_a 7.456
_cell_length_b 7.456
_cell_length_c 6.100
_cell_angle_alpha 90.00
_cell_angle_beta 90.00
_cell_angle_gamma 90.00
loop_
_atom_site_label
_atom_site_type_symbol
_atom_site_fract_x
_atom_site_fract_y
_atom_site_fract_z
_atom_site_occupancy
Ag1 Ag 0.000 0.000 0.000 1
Ge1 Ge 0.000 0.500 0.250 1
S1 S 0.158 0.677 0.000 1
```

No. 6
Computed, not measured: an optimized crystal structure of Ag2GeS2 at the PBE-GGA level of DFT.

CIF file:
```
data_Ag2GeS2
_chemical_formula_sum 'Ag4 Ge2 S4'
_symmetry_space_group_name_H-M 'P 4/m b m'
_symmetry_Int_Tables_number 127
_symmetry_space_group_name_Hall '-P 4 2ab'
_cell_length_a 7.327
_cell_length_b 7.327
_cell_length_c 3.568
_cell_angle_alpha 90.00
_cell_angle_beta 90.00
_cell_angle_gamma 90.00
loop_
_atom_site_label
_atom_site_type_symbol
_atom_site_fract_x
_atom_site_fract_y
_atom_site_fract_z
_atom_site_occupancy
Ag1 Ag 0.136 0.364 0.000 1
Ge1 Ge 0.000 0.000 0.500 1
S1 S 0.176 0.676 0.500 1
```

No. 7
Computed, not measured: an optimized crystal structure of Ag5GeS4 at the PBE-GGA level of DFT.

CIF file:
```
data_Ag5GeS4
_chemical_formula_sum 'Ag10 Ge2 S8'
_symmetry_space_group_name_H-M 'I m m m'
_symmetry_Int_Tables_number 71
_symmetry_space_group_name_Hall '-I 2 2'
_cell_length_a 3.835
_cell_length_b 7.220
_cell_length_c 14.402
_cell_angle_alpha 90.00
_cell_angle_beta 90.00
_cell_angle_gamma 90.00
loop_
_atom_site_label
_atom_site_type_symbol
_atom_site_fract_x
_atom_site_fract_y
_atom_site_fract_z
_atom_site_occupancy
Ag1 Ag 0.000 0.000 0.000 1
Ag2 Ag 0.000 0.287 0.325 1
Ge1 Ge 0.000 0.500 0.000 1
S1 S 0.000 0.251 0.500 1
S2 S 0.000 0.500 0.186 1
```

No. 8
Computed, not measured: an optimized crystal structure of Ag2GeS at the PBE-GGA level of DFT.

CIF file:
```
data_Ag2GeS
_chemical_formula_sum 'Ag8 Ge4 S4'
_symmetry_space_group_name_H-M 'I -4 2 d'
_symmetry_Int_Tables_number 122
_symmetry_space_group_name_Hall 'I -4 2bw'
_cell_length_a 6.541
_cell_length_b 6.541
_cell_length_c 8.368
_cell_angle_alpha 90.00
_cell_angle_beta 90.00
_cell_angle_gamma 90.00
loop_
_atom_site_label
_atom_site_type_symbol
_atom_site_fract_x
_atom_site_fract_y
_atom_site_fract_z
_atom_site_occupancy
Ag1 Ag 0.240 0.750 0.125 1
Ge1 Ge 0.000 0.000 0.500 1
S1 S 0.000 0.000 0.000 1
```

| no. | E_form (uncorrected) (eV/f.u.) | spin magnetization (μB per formula unit) |
| --- | --- | --- |
| 1 | -0.722 | 0.0 |
| 2 | -0.347 | 0.0 |
| 3 | 3.697 | 0.0 |
| 4 | -1.090 | 0.5 |
| 5 | -0.918 | 0.0 |
| 6 | 0.734 | 0.0 |
| 7 | -0.075 | 0.0 |
| 8 | 1.305 | 0.0 |